(1)
Y3Ga9Ag2 (PBE-GGA, relaxed); energy of formation = -0.46 eV/atom; space-group type = Immm
1.0
-2.120 5.079 6.299
2.120 -5.079 6.299
2.120 5.079 -6.299
Y Ga Ag
3 9 2
Cartesian
0.000 0.000 0.000
0.000 0.000 3.995
0.000 0.000 8.603
2.120 -1.260 2.071
2.120 -2.283 4.520
2.120 1.260 2.071
0.000 2.797 1.779
0.000 5.079 0.000
2.120 2.283 4.520
0.000 3.819 4.228
0.000 7.362 1.779
0.000 6.339 4.228
2.120 2.872 0.000
0.000 2.208 6.299


(2)
YGa2Ag (PBE-GGA, relaxed); energy of formation = -0.41 eV/atom; space-group type = R-3m
1.0
4.390 0.000 0.000
-2.195 3.802 0.000
0.000 0.000 14.884
Y Ga Ag
3 6 3
Cartesian
0.000 0.000 0.000
0.000 2.535 9.923
2.195 1.267 4.961
0.000 0.000 3.296
0.000 0.000 11.588
0.000 2.535 6.627
0.000 2.535 13.218
2.195 1.267 1.666
2.195 1.267 8.257
0.000 0.000 7.442
0.000 2.535 2.481
2.195 1.267 12.403


(3)
Y3GaAg (PBE-GGA, relaxed); energy of formation = -0.36 eV/atom; space-group type = Cmcm
1.0
2.528 -10.104 0.000
2.528 10.104 0.000
0.000 0.000 5.057
Y Ga Ag
6 2 2
Cartesian
2.528 8.755 3.792
2.528 5.053 3.792
2.528 1.350 3.792
2.528 -1.350 1.264
2.528 -5.053 1.264
2.528 -8.755 1.264
2.528 6.898 1.264
2.528 -6.898 3.792
2.528 3.246 1.264
2.528 -3.246 3.792


(4)
Y2Ga12Ag (PBE-GGA, relaxed); energy of formation = -0.27 eV/atom; space-group type = P4/nbm
1.0
6.242 0.000 0.000
0.000 6.242 0.000
0.000 0.000 15.192
Y Ga Ag
4 24 2
Cartesian
1.560 4.681 3.748
1.560 4.681 11.443
4.681 1.560 3.748
4.681 1.560 11.443
0.001 6.240 1.429
6.240 0.001 13.763
6.240 3.119 1.429
0.001 3.122 13.763
0.525 3.646 6.537
0.525 5.717 8.655
1.560 1.560 2.836
1.560 1.560 5.281
1.560 1.560 9.911
1.560 1.560 12.356
2.596 3.646 8.655
2.596 5.717 6.537
3.122 0.001 1.429
3.119 6.240 13.763
3.119 3.122 1.429
3.122 3.119 13.763
3.646 0.525 8.655
3.646 2.596 6.537
4.681 4.681 2.836
4.681 4.681 5.281
4.681 4.681 9.911
4.681 4.681 12.356
5.717 0.525 6.537
5.717 2.596 8.655
1.560 4.681 0.000
4.681 1.560 0.000


(5)
Y6Ga2Ag (PBE-GGA, relaxed); energy of formation = -0.26 eV/atom; space-group type = P2_1/c
1.0
6.337 0.000 0.000
0.000 8.216 0.000
-5.537 0.000 9.610
Y Ga Ag
12 4 2
Cartesian
-1.913 1.303 4.206
-4.681 2.805 9.011
-0.348 5.676 4.176
-3.116 6.649 8.981
1.128 0.353 2.650
-1.640 3.755 7.455
2.441 4.461 2.155
-0.328 7.863 6.960
3.916 1.567 0.629
1.148 2.541 5.434
5.482 5.411 0.599
2.713 6.913 5.404
-2.992 1.045 7.253
-0.223 3.063 2.448
1.024 5.153 7.162
3.792 7.171 2.357
0.000 0.000 0.000
-2.768 4.108 4.805


(6)
Y4GaAg (PBE-GGA, relaxed); energy of formation = -0.12 eV/atom; space-group type = P2_1/c
1.0
7.240 0.000 0.000
0.000 7.040 0.000
-0.230 0.000 7.116
Y Ga Ag
8 2 2
Cartesian
1.051 1.080 2.503
0.936 2.440 6.061
2.371 4.667 2.341
2.256 5.893 5.899
4.754 1.147 1.217
4.639 2.373 4.775
6.073 4.600 1.055
5.958 5.960 4.613
3.505 0.000 3.558
3.620 3.520 0.000
0.000 0.000 0.000
-0.115 3.520 3.558


The lowest energy of formation belongs to which entry? Y3Ga9Ag2